## Dy3HoTm7 (PBE)

Data for a geometry-optimized Dy3HoTm7 structure.

abc: 6.843 5.433 9.829
angles: 90.00 110.14 90.00
Space group P2/m (No. 10)
Unique sites:
Dy (0.000, 0.000, 0.000) x1
Dy (0.279, 0.500, 0.499) x2
Ho (0.500, 0.000, 0.000) x1
Tm (0.000, 0.000, 0.500) x1
Tm (0.147, 0.500, 0.791) x2
Tm (0.319, 0.500, 0.140) x2
Tm (0.418, 0.000, 0.331) x2

Summary:
formation enthalpy at 0 K = 0.162 eV per atom
total moment = 0.00 μB per atom